A geometry-optimized SnBr structure, computed with PBE.

Cell lengths 4.130, 10.032, 7.360 Å; angles 90.00, 124.20, 90.00 degrees
Positions (direct):
Sn: 0.037 0.000 0.300
Br: 0.566 0.713 0.804
Sn: 0.750 0.500 0.300
Br: 0.566 0.287 0.804
Br: 0.566 0.213 0.304
Sn: 0.037 0.500 0.800
Sn: 0.750 0.000 0.800
Br: 0.566 0.787 0.304

Computed properties:
- Density of states at the Fermi level: 0.282 states/eV/atom
- Calculated total energy: -3.208 eV/atom
- Energy relative to the elements, uncorrected: -0.3704 eV per atom
- Space-group type: No. 8

A geometry-optimized Pm6Sb2TeAs3 structure, computed with PBE.

Cell lengths 4.343, 8.767, 9.770 Å; angles 103.52, 102.84, 90.00 degrees
Positions (direct):
Pm: 0.672 0.075 0.344
Pm: 0.337 0.408 0.673
As: 0.166 0.834 0.332
Pm: 0.328 0.925 0.656
Sb: 0.166 0.332 0.332
Pm: 0.004 0.735 0.008
Pm: 0.663 0.592 0.327
Sb: 0.834 0.668 0.668
As: 0.500 0.500 0.000
As: 0.834 0.166 0.668
Te: 0.500 0.000 0.000
Pm: 0.996 0.265 0.992

Computed properties:
- Density of states at the Fermi level: 0.184 states/eV/atom
- Calculated total energy: -5.909 eV/atom
- Energy relative to the elements, uncorrected: -1.4229 eV per atom
- Space-group type: No. 12

A geometry-optimized KSbAs2 structure, computed with PBE.

Cell lengths 5.240, 5.240, 5.240 Å; angles 60.00, 60.00, 60.00 degrees
Positions (direct):
K: 0.500 0.500 0.500
As: 0.000 0.000 0.000
Sb: 0.750 0.750 0.750
As: 0.250 0.250 0.250

Computed properties:
- Density of states at the Fermi level: 0.200 states/eV/atom
- Calculated total energy: -3.327 eV/atom
- Energy relative to the elements, uncorrected: 0.3028 eV per atom
- Space-group type: No. 216

A geometry-optimized RbTaI5 structure, computed with PBE.

Cell lengths 8.386, 8.386, 10.929 Å; angles 72.76, 72.76, 70.94 degrees
Site moments in Bohr magnetons follow the coordinates.
Positions (direct):
I: 0.164 0.653 0.989  0.01
Ta: 0.000 0.000 0.000  0.71
Rb: 0.534 0.466 0.750  0.00
I: 0.836 0.347 0.011  0.01
I: 0.653 0.164 0.489  0.01
Ta: 0.000 0.000 0.500  0.71
I: 0.084 0.309 0.381  -0.01
I: 0.309 0.084 0.881  -0.01
I: 0.347 0.836 0.511  0.01
I: 0.691 0.916 0.119  -0.01
I: 0.910 0.090 0.750  -0.01
I: 0.916 0.691 0.619  -0.01
Rb: 0.466 0.534 0.250  0.00
I: 0.090 0.910 0.250  -0.01

Computed properties:
- Density of states at the Fermi level: 0.518 states/eV/atom
- Calculated total energy: -3.570 eV/atom
- Energy relative to the elements, uncorrected: -0.6312 eV per atom
- Space-group type: No. 15

A geometry-optimized Zn3In structure, computed with PBE.

Cell lengths 4.716, 4.716, 5.701 Å; angles 76.43, 76.43, 36.68 degrees
Positions (direct):
Zn: 0.759 0.759 0.706
Zn: 0.241 0.241 0.294
Zn: 0.500 0.500 0.500
In: 0.000 0.000 0.000

Computed properties:
- Density of states at the Fermi level: 0.212 states/eV/atom
- Calculated total energy: -1.560 eV/atom
- Space-group type: No. 12
- Formation enthalpy at 0 K: 7.71 kJ per mole of atoms

A geometry-optimized Nd3Dy4Tm2 structure, computed with PBE.

Cell lengths 6.051, 11.236, 11.236 Å; angles 62.60, 63.91, 63.91 degrees
Positions (direct):
Dy: 0.076 0.155 0.414
Nd: 0.251 0.941 0.725
Dy: 0.580 0.083 0.817
Nd: 0.249 0.275 0.059
Dy: 0.576 0.414 0.155
Nd: 0.751 0.725 0.941
Dy: 0.420 0.917 0.183
Dy: 0.080 0.817 0.083
Nd: 0.749 0.059 0.275
Tm: 0.917 0.519 0.251
Tm: 0.083 0.481 0.749
Tm: 0.417 0.251 0.519
Dy: 0.924 0.845 0.586
Tm: 0.583 0.749 0.481
Nd: 0.250 0.605 0.395
Dy: 0.424 0.586 0.845
Nd: 0.750 0.395 0.605
Dy: 0.920 0.183 0.917

Computed properties:
- Density of states at the Fermi level: 1.532 states/eV/atom
- Calculated total energy: -4.527 eV/atom
- Distance to the lowest polymorph of the same formula: 82 meV/atom
- Space-group type: No. 15
- Formation enthalpy at 0 K: 9.79 kJ per mole of atoms

A geometry-optimized KCrHg2 structure, computed with PBE.

Cell lengths 3.601, 3.601, 8.177 Å; angles 90.00, 90.00, 89.99 degrees
Site moments in Bohr magnetons follow the coordinates.
Positions (direct):
Hg: 0.000 0.000 0.559  0.05
K: 0.500 0.500 0.250  0.01
Hg: 0.000 0.000 0.941  0.05
Cr: 0.500 0.500 0.750  3.92

Computed properties:
- Density of states at the Fermi level: 0.547 states/eV/atom
- Calculated total energy: -2.601 eV/atom
- Distance to the lowest polymorph of the same formula: 0 meV/atom
- Space-group type: No. 123
- Formation enthalpy at 0 K: 22.23 kJ per mole of atoms

A geometry-optimized LaH6RuRh structure, computed with PBE.

Cell lengths 4.716, 4.716, 4.429 Å; angles 90.00, 90.00, 60.00 degrees
Positions (direct):
H: 0.495 0.495 0.237
Ru: 0.333 0.333 0.500
H: 0.495 0.010 0.237
H: 0.010 0.495 0.763
H: 0.010 0.495 0.237
H: 0.495 0.010 0.763
Rh: 0.667 0.667 0.500
La: 0.000 0.000 0.000
H: 0.495 0.495 0.763

Computed properties:
- Density of states at the Fermi level: 0.298 states/eV/atom
- Calculated total energy: -4.916 eV/atom
- Space-group type: No. 187

A geometry-optimized TlInAu structure, computed with PBE.

Cell lengths 3.520, 6.955, 6.626 Å; angles 103.83, 105.54, 89.34 degrees
Positions (direct):
In: 0.287 0.985 0.345
Au: 0.942 0.278 0.649
In: 0.591 0.119 0.944
Au: 0.936 0.826 0.639
Tl: 0.584 0.622 0.935
Tl: 0.294 0.481 0.354

Computed properties:
- Density of states at the Fermi level: 0.397 states/eV/atom
- Calculated total energy: -2.844 eV/atom
- Distance to the lowest polymorph of the same formula: 70 meV/atom
- Space-group type: No. 2
- Formation enthalpy at 0 K: -4.79 kJ per mole of atoms

A geometry-optimized Mn2AlW structure, computed with PBE.

Cell lengths 2.689, 2.689, 7.634 Å; angles 90.00, 90.00, 99.11 degrees
Site moments in Bohr magnetons follow the coordinates.
Positions (direct):
Al: 0.500 0.500 0.750  -0.05
W: 0.500 0.500 0.250  -0.25
Mn: 0.000 0.000 0.510  2.05
Mn: 0.000 0.000 0.990  2.05

Computed properties:
- Density of states at the Fermi level: 0.698 states/eV/atom
- Calculated total energy: -8.749 eV/atom
- Space-group type: No. 65
- Formation enthalpy at 0 K: 0.98 kJ per mole of atoms

A geometry-optimized Cs12AuO3F4 structure, computed with PBE.

Cell lengths 9.717, 9.717, 9.717 Å; angles 109.47, 109.47, 109.47 degrees
Positions (direct):
Cs: 0.320 0.827 0.147
Cs: 0.506 0.680 0.827
Cs: 0.494 0.320 0.173
Cs: 0.147 0.320 0.827
Cs: 0.827 0.147 0.320
F: 0.500 0.500 0.500
F: 0.000 0.500 0.000
Cs: 0.827 0.506 0.680
Cs: 0.173 0.494 0.320
O: 0.500 0.000 0.500
Cs: 0.853 0.680 0.173
Cs: 0.680 0.827 0.506
O: 0.000 0.500 0.500
O: 0.500 0.500 0.000
Au: 0.000 0.000 0.000
Cs: 0.320 0.173 0.494
Cs: 0.173 0.853 0.680
Cs: 0.680 0.173 0.853
F: 0.500 0.000 0.000
F: 0.000 0.000 0.500

Computed properties:
- Density of states at the Fermi level: 0.315 states/eV/atom
- Calculated total energy: -3.272 eV/atom
- Energy relative to the elements, uncorrected: -1.4781 eV per atom
- Space-group type: No. 204

A geometry-optimized SiH2Se2 structure, computed with PBE.

Cell lengths 4.081, 4.081, 13.904 Å; angles 106.12, 106.12, 64.28 degrees
Positions (direct):
H: 0.515 0.765 0.334
Se: 0.339 0.089 0.112
H: 0.735 0.985 0.166
H: 0.015 0.265 0.834
Se: 0.911 0.661 0.888
Si: 0.507 0.493 0.000
Se: 0.339 0.089 0.612
H: 0.235 0.485 0.666
Si: 0.743 0.257 0.500
Se: 0.911 0.661 0.388

Computed properties:
- Calculated total energy: -3.773 eV/atom
- Space-group type: No. 15

> Which of these has the highest calculated total energy?

Zn3In

> What is the calculated total energy in the sixth record?

-4.527 eV/atom